DFT (GGA+U) results for a relaxed NbCoSnO6 crystal.

Properties
Total DFT energy (no corrections) = -63.0 eV/f.u.
Symmetry = No. 163
Total magnetic moment = 8.1 Bohr magnetons per cell

Cell and atoms, written as POSCAR:
```
NbCoSnO6
1.0
-0.7772 1.7835 4.9034
-3.8564 -2.5791 -2.5108
2.9994 -7.6600 3.2615
O Nb Co Sn
12 2 2 2
direct
0.0119 0.6702 0.8733
0.3298 0.3417 0.8733
0.6583 0.6702 0.6267
0.6702 0.6583 0.1267
0.3417 0.3298 0.3733
0.6583 0.9881 0.8733
0.0119 0.3417 0.6267
0.9881 0.6583 0.3733
0.6702 0.0119 0.3733
0.3417 0.0119 0.1267
0.9881 0.3298 0.1267
0.3298 0.9881 0.6267
0.6667 0.3333 0.2500
0.3333 0.6667 0.7500
0.0000 0.0000 0.5000
0.0000 0.0000 0.0000
0.6667 0.3333 0.7500
0.3333 0.6667 0.2500
```